[1]
# PmDy6Tm5 (PBE, optimized geometry)
data_PmDy6Tm5
_space_group_name_H-M_alt 'C m m m'
_space_group_IT_number 65
_space_group_name_Hall '-C 2 2'
_cell_length_a 4.9839
_cell_length_b 14.9675
_cell_length_c 9.9804
_cell_angle_alpha 90.00
_cell_angle_beta 90.00
_cell_angle_gamma 90.00
loop_
_atom_site_label
_atom_site_fract_x
_atom_site_fract_y
_atom_site_fract_z
Pm1 0.0000 0.0000 0.0000
Dy1 0.0000 0.1669 0.2517
Dy2 0.0000 0.5000 0.2519
Tm1 0.0000 0.0000 0.5000
Tm2 0.0000 0.3322 0.0000
Tm3 0.0000 0.3334 0.5000
# E ... -108.9 eV/cell



[2]
# TmPaP2 (PBE, optimized geometry)
data_TmPaP2
_space_group_name_H-M_alt 'P 63/m m c'
_space_group_IT_number 194
_space_group_name_Hall '-P 6c 2c'
_cell_length_a 3.9538
_cell_length_b 3.9538
_cell_length_c 12.8684
_cell_angle_alpha 90.00
_cell_angle_beta 90.00
_cell_angle_gamma 120.00
loop_
_atom_site_label
_atom_site_fract_x
_atom_site_fract_y
_atom_site_fract_z
Tm1 0.3333 0.6667 0.2500
Pa1 0.0000 0.0000 0.0000
P1 0.3333 0.6667 0.6239
# Relative energy among the computed polymorphs ... 34 meV per atom



[3]
# La2Tb3Pr6Ho (PBE, optimized geometry)
data_La2Tb3Pr6Ho
_space_group_name_H-M_alt 'C 1 2/m 1'
_space_group_IT_number 12
_cell_length_a 6.3645
_cell_length_b 11.0282
_cell_length_c 12.1113
_cell_angle_alpha 90.00
_cell_angle_beta 100.13
_cell_angle_gamma 90.00
loop_
_space_group_symop_operation_xyz
'x,y,z'
'-x,-y,-z'
'-x,y,-z'
'x,-y,z'
'x+1/2,y+1/2,z'
'-x+1/2,-y+1/2,-z'
'-x+1/2,y+1/2,-z'
'x+1/2,-y+1/2,z'
loop_
_atom_site_label
_atom_site_fract_x
_atom_site_fract_y
_atom_site_fract_z
La1 0.0000 0.1671 0.0000
Tb1 0.0000 0.0000 0.5000
Tb2 0.0000 0.3338 0.5000
Pr1 0.2477 0.5000 0.7461
Pr2 0.2497 0.1659 0.7462
Ho1 0.0000 0.5000 0.0000
# E ... -113.6 eV/cell



[4]
# Y2ErCu (PBE, optimized geometry)
data_Y2ErCu
_space_group_name_H-M_alt 'P n m a'
_space_group_IT_number 62
_cell_length_a 6.8372
_cell_length_b 9.6814
_cell_length_c 6.5044
_cell_angle_alpha 90.00
_cell_angle_beta 90.00
_cell_angle_gamma 90.00
loop_
_space_group_symop_operation_xyz
'x,y,z'
'-x,-y,-z'
'-x+1/2,-y,z+1/2'
'x+1/2,y,-z+1/2'
'x+1/2,-y+1/2,-z+1/2'
'-x+1/2,y+1/2,z+1/2'
'-x,y+1/2,-z'
'x,-y+1/2,z'
loop_
_atom_site_label
_atom_site_fract_x
_atom_site_fract_y
_atom_site_fract_z
Y1 0.1927 0.0602 0.1881
Er1 0.0217 0.2500 0.6322
Cu1 0.0942 0.7500 0.9566
# Relative energy among the computed polymorphs ... 0 meV per atom



[5]
# Li4AgAs2 (PBE, optimized geometry)
data_Li4AgAs2
_space_group_name_H-M_alt 'R -3 m'
_space_group_IT_number 166
_space_group_name_Hall '-R 3 2"'
_cell_length_a 4.3357
_cell_length_b 4.3357
_cell_length_c 25.4314
_cell_angle_alpha 90.00
_cell_angle_beta 90.00
_cell_angle_gamma 120.00
loop_
_atom_site_label
_atom_site_fract_x
_atom_site_fract_y
_atom_site_fract_z
Li1 0.0000 0.0000 0.1004
Li2 0.0000 0.0000 0.2992
Ag1 0.0000 0.0000 0.5000
As1 0.0000 0.0000 0.4023
# E ... -68.8 eV/cell



[6]
# BaTlOF2 (PBE, optimized geometry)
data_BaTlOF2
_space_group_name_H-M_alt 'P 4/m m m'
_space_group_IT_number 123
_space_group_name_Hall '-P 4 2'
_cell_length_a 4.7936
_cell_length_b 4.7936
_cell_length_c 4.4635
_cell_angle_alpha 90.00
_cell_angle_beta 90.00
_cell_angle_gamma 90.00
loop_
_atom_site_label
_atom_site_fract_x
_atom_site_fract_y
_atom_site_fract_z
Ba1 0.0000 0.0000 0.0000
Tl1 0.5000 0.5000 0.5000
O1 0.5000 0.5000 0.0000
F1 0.0000 0.5000 0.5000
# Relative energy among the computed polymorphs ... 0 meV per atom
# ΔE_f (raw) ... -2.1211 eV per atom



[7]
# Er5AuS4 (PBE, optimized geometry)
data_Er5AuS4
_space_group_name_H-M_alt 'C 1 2/m 1'
_space_group_IT_number 12
_cell_length_a 13.2082
_cell_length_b 3.8583
_cell_length_c 9.7679
_cell_angle_alpha 90.00
_cell_angle_beta 120.22
_cell_angle_gamma 90.00
loop_
_space_group_symop_operation_xyz
'x,y,z'
'-x,-y,-z'
'-x,y,-z'
'x,-y,z'
'x+1/2,y+1/2,z'
'-x+1/2,-y+1/2,-z'
'-x+1/2,y+1/2,-z'
'x+1/2,-y+1/2,z'
loop_
_atom_site_label
_atom_site_fract_x
_atom_site_fract_y
_atom_site_fract_z
Er1 0.0000 0.0000 0.0000
Er2 0.1054 0.5000 0.3955
Er3 0.2009 0.0000 0.8059
Au1 0.0000 0.0000 0.5000
S1 0.1003 0.5000 0.9050
S2 0.2004 0.0000 0.2933
# ΔE_f (raw) ... -1.7123 eV per atom



[8]
# LiPrC2O6 (PBE, optimized geometry)
data_LiPrC2O6
_space_group_name_H-M_alt 'R -3'
_space_group_IT_number 148
_space_group_name_Hall '-R 3'
_cell_length_a 4.9594
_cell_length_b 4.9594
_cell_length_c 16.4753
_cell_angle_alpha 90.00
_cell_angle_beta 90.00
_cell_angle_gamma 120.00
loop_
_atom_site_label
_atom_site_fract_x
_atom_site_fract_y
_atom_site_fract_z
Li1 0.0000 0.0000 0.0000
Pr1 0.0000 0.0000 0.5000
C1 0.0000 0.0000 0.2544
O1 0.0386 0.2790 0.7470
# ΔE_f (raw) ... -2.0802 eV per atom